## P
VASP calculation (PBE) on a geometry-optimized TbDyY6 structure. Values from VASP.

```
&SYSTEM
  ibrav = 0, nat = 16, ntyp = 3
/
ATOMIC_SPECIES
Tb 158.93 Tb.upf
Dy 162.50 Dy.upf
Y 88.91 Y.upf
CELL_PARAMETERS angstrom
11.282 0.000 0.000
0.000 5.040 0.000
-4.504 0.000 9.014
ATOMIC_POSITIONS angstrom
Tb 0.000 0.000 0.000
Tb 5.641 2.520 0.000
Dy -2.252 0.000 4.507
Dy 3.389 2.520 4.507
Y -1.126 2.520 2.255
Y 7.904 2.520 6.759
Y 1.132 0.000 3.382
Y -1.121 0.000 7.885
Y 2.258 2.520 1.128
Y 0.005 2.520 5.632
Y 4.515 0.000 2.255
Y 2.263 0.000 6.759
Y 7.899 0.000 1.128
Y 5.646 0.000 5.632
Y 6.773 2.520 3.382
Y 4.520 2.520 7.885
```

---

## Q
VASP calculation (PBE) on a geometry-optimized TbDyY6 structure. Values from VASP.

```
&SYSTEM
  ibrav = 0, nat = 8, ntyp = 3
/
ATOMIC_SPECIES
Tb 158.93 Tb.upf
Dy 162.50 Dy.upf
Y 88.91 Y.upf
CELL_PARAMETERS angstrom
6.582 0.000 0.000
-0.002 6.649 0.000
-3.288 -0.008 5.945
ATOMIC_POSITIONS angstrom
Tb 0.000 0.000 0.000
Dy -0.001 3.325 0.000
Y -1.205 4.983 2.795
Y 1.208 1.661 2.786
Y 3.222 4.985 0.007
Y 0.070 1.656 5.938
Y 2.084 4.981 3.158
Y 4.497 1.659 3.150
```

---

P takes first place; second place is 18.2 kJ/mol of atoms up.

---

## P
VASP calculation (PBE) on a geometry-optimized Tb4DyY2 structure. Values from VASP.

```
&SYSTEM
  ibrav = 0, nat = 14, ntyp = 3
/
ATOMIC_SPECIES
Tb 158.93 Tb.upf
Dy 162.50 Dy.upf
Y 88.91 Y.upf
CELL_PARAMETERS angstrom
6.233 0.000 0.000
0.000 6.514 0.000
-3.120 0.000 11.095
ATOMIC_POSITIONS angstrom
Tb -0.916 1.628 4.018
Tb -2.075 1.628 10.514
Tb 1.475 3.284 2.370
Tb 1.475 6.487 2.370
Tb 1.637 0.027 8.725
Tb 1.637 3.230 8.725
Tb 5.187 4.885 0.581
Tb 4.028 4.885 7.077
Dy -1.054 1.628 7.370
Dy 4.167 4.885 3.725
Y -1.047 4.885 10.272
Y 0.844 4.885 5.590
Y 2.268 1.628 5.505
Y 4.160 1.628 0.823
```

---

## Q
VASP calculation (PBE) on a geometry-optimized Tb4DyY2 structure. Values from VASP.

```
&SYSTEM
  ibrav = 0, nat = 7, ntyp = 3
/
ATOMIC_SPECIES
Tb 158.93 Tb.upf
Dy 162.50 Dy.upf
Y 88.91 Y.upf
CELL_PARAMETERS angstrom
3.592 0.000 0.000
-1.796 3.111 0.000
0.000 0.000 20.082
ATOMIC_POSITIONS angstrom
Tb 0.000 0.000 0.000
Tb 0.000 0.000 5.700
Tb 1.796 1.037 8.589
Tb 1.796 1.037 14.328
Dy 0.000 2.074 2.839
Y 0.000 2.074 11.471
Y 0.000 2.074 17.205
```

---

Q takes first place; second place is 12.0 kJ/mol of atoms up.

---

## P
VASP calculation (PBE) on a geometry-optimized Tb3Dy7Y2 structure. Values from VASP.

```
&SYSTEM
  ibrav = 0, nat = 12, ntyp = 3
/
ATOMIC_SPECIES
Tb 158.93 Tb.upf
Dy 162.50 Dy.upf
Y 88.91 Y.upf
CELL_PARAMETERS angstrom
2.843 -18.923 0.000
2.843 18.923 0.000
0.000 0.000 3.582
ATOMIC_POSITIONS angstrom
Tb 0.000 0.000 0.000
Tb 2.843 11.908 0.000
Tb 2.843 -11.908 0.000
Dy 2.843 15.451 1.791
Dy 2.843 8.745 1.791
Dy 2.843 2.711 0.000
Dy 2.843 0.000 1.791
Dy 2.843 -2.711 0.000
Dy 2.843 -8.745 1.791
Dy 2.843 -15.451 1.791
Y 2.843 5.581 1.791
Y 2.843 -5.581 1.791
```

---

## Q
VASP calculation (PBE) on a geometry-optimized Tb3Dy7Y2 structure. Values from VASP.

```
&SYSTEM
  ibrav = 0, nat = 12, ntyp = 3
/
ATOMIC_SPECIES
Tb 158.93 Tb.upf
Dy 162.50 Dy.upf
Y 88.91 Y.upf
CELL_PARAMETERS angstrom
6.327 0.000 0.000
0.000 3.512 0.000
-1.862 0.000 17.309
ATOMIC_POSITIONS angstrom
Tb 0.000 0.000 0.000
Tb -0.910 1.756 11.391
Tb 5.374 1.756 5.918
Dy 1.125 1.756 2.858
Dy 0.615 0.000 8.677
Dy 0.186 0.000 14.413
Dy 3.163 1.756 0.000
Dy 4.278 0.000 2.896
Dy 3.850 0.000 8.631
Dy 3.339 1.756 14.451
Y 2.182 0.000 5.663
Y 2.282 0.000 11.646
```

---

Q takes first place; second place is 3.1 kJ/mol of atoms up.

---

## P
VASP calculation (PBE) on a geometry-optimized Tb2Dy7Y structure. Values from VASP.

```
&SYSTEM
  ibrav = 0, nat = 10, ntyp = 3
/
ATOMIC_SPECIES
Tb 158.93 Tb.upf
Dy 162.50 Dy.upf
Y 88.91 Y.upf
CELL_PARAMETERS angstrom
4.334 -8.564 0.000
4.334 8.564 0.000
0.000 0.000 5.227
ATOMIC_POSITIONS angstrom
Tb 4.334 5.105 0.000
Tb 4.334 -5.105 0.000
Dy 0.000 0.000 0.000
Dy 2.782 1.870 0.000
Dy 4.334 3.387 2.613
Dy 2.782 -1.870 0.000
Dy 5.885 1.870 0.000
Dy 4.334 -3.387 2.613
Dy 5.885 -1.870 0.000
Y 4.334 0.000 2.613
```

---

## Q
VASP calculation (PBE) on a geometry-optimized Tb2Dy7Y structure. Values from VASP.

```
&SYSTEM
  ibrav = 0, nat = 10, ntyp = 3
/
ATOMIC_SPECIES
Tb 158.93 Tb.upf
Dy 162.50 Dy.upf
Y 88.91 Y.upf
CELL_PARAMETERS angstrom
6.139 0.000 0.000
-1.035 6.061 0.000
-3.055 -2.596 8.490
ATOMIC_POSITIONS angstrom
Tb -0.513 2.507 1.695
Tb 2.563 0.958 6.795
Dy -1.525 -1.816 5.947
Dy -0.515 1.473 5.095
Dy 1.538 -0.257 0.844
Dy 2.552 3.031 0.000
Dy 0.512 3.722 7.646
Dy 2.565 1.992 3.395
Dy 3.575 5.281 2.543
Y 1.542 -1.298 4.245
```

---

Q takes first place; second place is 64.9 kJ/mol of atoms up.